(1)
The following is a DFT calculation (PBE) of an optimized crystal structure of Ac2Zn3Pd12Pt.

Geometry as POSCAR:
```
Ac2Zn3Pd12Pt
1.0
-3.702 4.043 5.978
3.353 0.225 7.382
3.199 6.925 2.754
Pd Zn Ac Pt
12 3 2 1
Direct
0.867 0.867 0.390
0.374 0.876 0.374
0.626 0.626 0.124
0.133 0.133 0.610
0.610 0.133 0.133
0.133 0.610 0.133
0.124 0.626 0.626
0.876 0.374 0.374
0.390 0.867 0.867
0.374 0.374 0.876
0.626 0.124 0.626
0.867 0.390 0.867
0.500 0.000 0.000
0.000 0.000 0.500
0.000 0.500 0.000
0.620 0.620 0.620
0.380 0.380 0.380
0.000 0.000 0.000
```

* density of states at the Fermi level: 9.8 states/eV/f.u.
* symmetry: R-3m
* E_tot: -4.59 eV per atom
* crystal system: trigonal
* ΔE_f: -0.12 eV/atom


(2)
The following is a DFT calculation (PBE) of an optimized crystal structure of Ac2Zn3Pd4Pt.

Geometry as POSCAR:
```
Ac2Zn3Pd4Pt
1.0
-3.949 -1.343 1.055
1.702 -3.323 2.138
0.381 6.148 9.251
Pd Pt Zn Ac
4 1 3 2
Direct
0.000 0.000 0.000
0.500 0.500 0.000
0.500 0.000 0.650
0.000 0.500 0.350
0.500 0.500 0.500
0.000 0.000 0.500
0.500 0.000 0.876
0.000 0.500 0.124
0.000 0.500 0.743
0.500 0.000 0.257
```

* density of states at the Fermi level: 4.4 states/eV/f.u.
* symmetry: P-4m2
* E_tot: -4.54 eV per atom
* crystal system: tetragonal
* ΔE_f: -0.65 eV/atom


(3)
The following is a DFT calculation (PBE) of an optimized crystal structure of AcZn2PdPt.

Geometry as POSCAR:
```
AcZn2PdPt
1.0
-2.370 3.427 1.267
-3.422 -2.117 -0.674
3.018 -2.594 5.175
Ac Pd Zn Pt
1 1 2 1
Direct
0.429 0.429 0.858
0.191 0.691 0.383
0.689 0.189 0.379
0.061 0.061 0.122
0.841 0.841 0.682
```

* density of states at the Fermi level: 2.5 states/eV/f.u.
* symmetry: Imm2
* E_tot: -4.24 eV per atom
* crystal system: orthorhombic
* ΔE_f: -0.66 eV/atom


(4)
The following is a DFT calculation (PBE) of an optimized crystal structure of Ac2Zn3PdPt4.

Geometry as POSCAR:
```
Ac2Zn3PdPt4
1.0
4.269 0.000 0.000
0.000 4.269 0.000
0.000 0.000 11.227
Pt Zn Ac Pd
4 3 2 1
Direct
0.000 0.000 0.000
0.500 0.500 0.000
0.500 0.000 0.651
0.000 0.500 0.349
0.000 0.000 0.500
0.000 0.500 0.125
0.500 0.000 0.875
0.500 0.000 0.252
0.000 0.500 0.748
0.500 0.500 0.500
```

* density of states at the Fermi level: 3.5 states/eV/f.u.
* symmetry: P-4m2
* E_tot: -4.92 eV per atom
* crystal system: tetragonal
* ΔE_f: -0.78 eV/atom


(5)
The following is a DFT calculation (PBE) of an optimized crystal structure of Ac3Zn2Pd9Pt.

Geometry as POSCAR:
```
Ac3Zn2Pd9Pt
1.0
7.736 0.000 0.000
-3.868 6.700 0.000
0.000 0.000 6.461
Ac Pd Zn Pt
3 9 2 1
Direct
0.000 0.000 0.000
0.333 0.667 0.658
0.667 0.333 0.342
0.500 0.000 0.000
0.826 0.174 0.670
0.174 0.349 0.330
0.174 0.826 0.330
0.651 0.826 0.330
0.500 0.500 0.000
0.826 0.651 0.670
0.349 0.174 0.670
0.000 0.500 0.000
0.333 0.667 0.152
0.667 0.333 0.848
0.000 0.000 0.500
```

* density of states at the Fermi level: 7.7 states/eV/f.u.
* symmetry: P-3m1
* E_tot: -4.93 eV per atom
* crystal system: trigonal
* ΔE_f: -0.42 eV/atom


(6)
The following is a DFT calculation (PBE) of an optimized crystal structure of Ac2Zn4PdPt3.

Geometry as POSCAR:
```
Ac2Zn4PdPt3
1.0
4.366 0.000 0.000
0.000 4.366 0.000
0.000 0.000 10.767
Pd Pt Zn Ac
1 3 4 2
Direct
0.500 0.500 0.500
0.000 0.000 0.500
0.500 0.000 0.863
0.000 0.500 0.137
0.500 0.500 0.000
0.500 0.000 0.626
0.000 0.000 0.000
0.000 0.500 0.374
0.000 0.500 0.747
0.500 0.000 0.253
```

* density of states at the Fermi level: 5.2 states/eV/f.u.
* symmetry: P-4m2
* E_tot: -4.44 eV per atom
* crystal system: tetragonal
* ΔE_f: -0.78 eV/atom


(7)
The following is a DFT calculation (PBE) of an optimized crystal structure of Ac2ZnPdPt.

Geometry as POSCAR:
```
Ac2ZnPdPt
1.0
4.427 0.000 0.000
0.000 8.360 0.305
0.000 -3.174 7.020
Ac Zn Pt Pd
4 2 2 2
Direct
0.750 0.850 0.623
0.750 0.709 0.049
0.250 0.291 0.951
0.250 0.150 0.377
0.750 0.442 0.337
0.250 0.558 0.663
0.750 0.116 0.093
0.250 0.884 0.907
0.750 0.365 0.674
0.250 0.635 0.326
```

* density of states at the Fermi level: 2.9 states/eV/f.u.
* symmetry: P2_1/m
* E_tot: -4.94 eV per atom
* crystal system: monoclinic
* ΔE_f: -0.80 eV/atom


(8)
The following is a DFT calculation (PBE) of an optimized crystal structure of AcPu2Pd9.

Geometry as POSCAR:
```
AcPu2Pd9
1.0
5.219 0.000 1.553
2.378 4.646 1.553
0.005 0.003 9.529
Pd Ac Pu
9 1 2
Direct
0.500 0.500 0.500
0.082 0.587 0.743
0.587 0.587 0.743
0.667 0.667 0.000
0.413 0.918 0.257
0.333 0.333 0.000
0.587 0.082 0.743
0.413 0.413 0.257
0.918 0.413 0.257
0.000 0.000 0.000
0.144 0.144 0.568
0.856 0.856 0.432
```

* density of states at the Fermi level: 29.6 states/eV/f.u.
* symmetry: R-3m
* E_tot: -7.20 eV per atom
* crystal system: trigonal
* ΔE_f: -0.58 eV/atom


(9)
The following is a DFT calculation (PBE) of an optimized crystal structure of AcPuPd3.

Geometry as POSCAR:
```
AcPuPd3
1.0
-1.877 1.118 3.816
-3.593 -0.662 -1.573
2.398 -12.707 4.903
Pd Pu Ac
6 2 2
Direct
0.250 0.374 0.748
0.750 0.528 0.056
0.250 0.687 0.373
0.750 0.313 0.627
0.250 0.472 0.944
0.750 0.626 0.252
0.750 0.207 0.414
0.250 0.793 0.586
0.250 0.075 0.149
0.750 0.925 0.851
```

* density of states at the Fermi level: 14.4 states/eV/f.u.
* symmetry: Cmcm
* E_tot: -7.43 eV per atom
* crystal system: orthorhombic
* ΔE_f: -0.63 eV/atom


(10)
The following is a DFT calculation (PBE) of an optimized crystal structure of Ac3PuPd12.

Geometry as POSCAR:
```
Ac3PuPd12
1.0
-1.383 -3.945 -0.898
3.736 -0.881 -1.884
6.202 -5.564 14.895
Pd Ac Pu
12 3 1
Direct
0.500 0.500 0.500
0.000 0.500 0.115
0.500 0.000 0.628
0.500 0.500 0.755
0.000 0.500 0.372
0.500 0.500 0.000
0.500 0.000 0.372
0.500 0.000 0.885
0.500 0.500 0.245
0.500 0.000 0.115
0.000 0.500 0.885
0.000 0.500 0.628
0.000 0.000 0.246
0.000 0.000 0.754
0.000 0.000 0.500
0.000 0.000 0.000
```

* density of states at the Fermi level: 19.5 states/eV/f.u.
* symmetry: P4/mmm
* E_tot: -6.25 eV per atom
* crystal system: tetragonal
* ΔE_f: -0.69 eV/atom


(11)
The following is a DFT calculation (PBE) of an optimized crystal structure of Ac2Pu2Pd15.

Geometry as POSCAR:
```
Ac2Pu2Pd15
1.0
-0.640 2.271 -6.791
-5.517 -4.148 -2.012
-5.319 4.744 0.943
Ac Pu Pd
2 2 15
Direct
0.645 0.645 0.645
0.355 0.355 0.355
0.901 0.901 0.901
0.099 0.099 0.099
0.653 0.158 0.653
0.306 0.694 0.000
0.000 0.000 0.500
0.158 0.653 0.653
0.000 0.500 0.000
0.694 0.306 0.000
0.500 0.000 0.000
0.000 0.694 0.306
0.000 0.306 0.694
0.347 0.347 0.842
0.347 0.842 0.347
0.694 0.000 0.306
0.653 0.653 0.158
0.306 0.000 0.694
0.842 0.347 0.347
```

* density of states at the Fermi level: 35.6 states/eV/f.u.
* symmetry: R-3m
* E_tot: -6.55 eV per atom
* crystal system: trigonal
* ΔE_f: -0.51 eV/atom


(12)
The following is a DFT calculation (PBE) of an optimized crystal structure of Ac2PuPd.

Geometry as POSCAR:
```
Ac2PuPd
1.0
-3.274 -1.272 1.522
-0.027 -2.908 -2.488
4.580 -4.939 5.723
Pd Pu Ac
1 1 2
Direct
0.500 0.500 0.000
0.500 0.500 0.500
0.000 0.000 0.792
0.000 0.000 0.208
```

* E above lowest polymorph: 0.000 eV per atom
* density of states at the Fermi level: 8.6 states/eV/f.u.
* symmetry: P4/mmm
* E_tot: -7.13 eV per atom
* crystal system: tetragonal
* ΔE_f: -0.19 eV/atom